No. 1
VASP calculation (PBE-GGA) on a relaxed Sr3ErTe4 crystal.

Results
N(E_F) (states/eV/f.u.): 2.6
E_tot (eV/atom): -4.354

a = 9.2862 Å, b = 13.0631 Å, c = 4.5964 Å
α = 90.00°, β = 90.00°, γ = 90.00°
Last column: nearest neighbours and their distance in Å.
Space group Cmmm (No. 65)
Asymmetric unit:
1 Sr 0.0000 0.0000 0.0000 x2  6 Te 3.38-3.39
2 Sr 0.2500 0.2500 0.5000 x4  6 Te 3.27
3 Er 0.0000 0.5000 0.0000 x2  6 Te 3.14-3.15
4 Te 0.0000 0.2598 0.0000 x4  1 Er 3.14, 5 Sr 3.27-3.39
5 Te 0.2326 0.5000 0.5000 x4  2 Er 3.15, 4 Sr 3.27-3.38

=====

No. 2
VASP calculation (PBE-GGA) on a relaxed Nd3Er crystal.

Results
N(E_F) (states/eV/f.u.): 9.7
E above lowest polymorph (eV/atom): 0.117
Energy of formation (eV per atom): 0.1320
E_tot (eV/atom): -4.585

a = 8.1816 Å, b = 8.1816 Å, c = 8.1816 Å
α = 90.00°, β = 90.00°, γ = 90.00°
Last column: nearest neighbours and their distance in Å.
Space group Fm-3m (No. 225)
Asymmetric unit:
1 Nd 0.0000 0.0000 0.0000 x4  8 Nd 3.54
2 Nd 0.2500 0.2500 0.2500 x8  4 Er 3.54, 4 Nd 3.54
3 Er 0.0000 0.0000 0.5000 x4  8 Nd 3.54

=====

No. 3
VASP calculation (PBE-GGA) on a relaxed K3Ho2MnS6 crystal.

Results
N(E_F) (states/eV/f.u.): 3.6
E_tot (eV/atom): -5.345

a = 6.7502 Å, b = 11.8987 Å, c = 7.6707 Å
α = 90.00°, β = 106.84°, γ = 90.00°
Last column: nearest neighbours and their distance in Å.
Space group C2/m (No. 12)
Asymmetric unit:
1 K 0.0000 0.0000 0.0000 x2  6 S 3.14-3.38
2 K 0.0000 0.3323 0.0000 x4  6 S 3.12-3.23
3 Ho 0.0000 0.1691 0.5000 x4  6 S 2.71-2.78
4 Mn 0.0000 0.5000 0.5000 x2  6 S 2.43-2.64
5 S 0.2281 0.3403 0.6997 x8  1 Mn 2.64, 2 Ho 2.71-2.74
6 S 0.2388 0.5000 0.3157 x4  1 Mn 2.43

=====

No. 4
VASP calculation (PBE-GGA) on a relaxed Ba2RhPb crystal.

Results
N(E_F) (states/eV/f.u.): 3.9
Energy of formation (eV per atom): -0.1194
E_tot (eV/atom): -3.846

a = 3.8204 Å, b = 3.8204 Å, c = 9.7241 Å
α = 90.00°, β = 90.00°, γ = 90.00°
Last column: nearest neighbours and their distance in Å.
Space group P4mm (No. 99)
Asymmetric unit:
1 Ba 0.0000 0.0000 0.0000 x1  1 Pb 3.33, 4 Rh 3.52
2 Ba 0.5000 0.5000 0.4149 x1  1 Rh 3.44, 4 Pb 3.59, 4 Ba 3.82
3 Rh 0.5000 0.5000 0.7684 x1  4 Pb 2.91
4 Pb 0.0000 0.0000 0.6573 x1  4 Rh 2.91

=====

No. 5
VASP calculation (PBE-GGA) on a relaxed LiPm2Zn6 crystal.

Results
N(E_F) (states/eV/f.u.): 5.1
E above lowest polymorph (eV/atom): 0.000
Energy of formation (eV per atom): -0.2456
E_tot (eV/atom): -2.363

a = 7.9094 Å, b = 7.9094 Å, c = 3.3248 Å
α = 90.00°, β = 90.00°, γ = 120.00°
Last column: nearest neighbours and their distance in Å.
Space group P6/mmm (No. 191)
Asymmetric unit:
1 Li 0.0000 0.0000 0.0000 x1  12 Zn 3.03, 2 Li 3.32
2 Pm 0.3333 0.6667 0.0000 x2  12 Zn 3.16, 2 Pm 3.32
3 Zn 0.0000 0.3205 0.5000 x6  2 Zn 2.53

=====

No. 6
VASP calculation (PBE-GGA) on a relaxed Sr2TcSb crystal.

Results
N(E_F) (states/eV/f.u.): 4.3
E_tot (eV/atom): -4.203

a = 3.5142 Å, b = 3.5142 Å, c = 9.2919 Å
α = 90.00°, β = 90.00°, γ = 90.00°
Last column: nearest neighbours and their distance in Å.
Space group P4/mmm (No. 123)
Asymmetric unit:
1 Sr 0.0000 0.0000 0.2308 x2  4 Tc 3.28, 4 Sr 3.51, 4 Sb 3.53
2 Tc 0.5000 0.5000 0.0000 x1  8 Sr 3.28, 4 Tc 3.51
3 Sb 0.5000 0.5000 0.5000 x1  4 Sb 3.51, 8 Sr 3.53

=====

No. 7
VASP calculation (PBE-GGA) on a relaxed K2I3Br6 crystal.

Results
N(E_F) (states/eV/f.u.): 4.0
E_tot (eV/atom): -2.188

a = 11.9968 Å, b = 10.2108 Å, c = 17.7931 Å
α = 90.00°, β = 102.87°, γ = 90.00°
Last column: nearest neighbours and their distance in Å.
Space group C2/c (No. 15)
Asymmetric unit:
1 K 0.0522 0.2459 0.0066 x8  6 Br 3.31-3.46
2 I 0.0000 0.4779 0.2500 x4  2 Br 2.70
3 I 0.1690 0.0494 0.7572 x8  2 Br 2.70-2.71
4 Br 0.0622 0.4789 0.4053 x8  1 I 2.70
5 Br 0.1238 0.0348 0.6015 x8  1 I 2.71
6 Br 0.2188 0.0580 0.9129 x8  1 I 2.70

=====

No. 8
VASP calculation (PBE-GGA) on a relaxed La3IrC crystal.

Results
N(E_F) (states/eV/f.u.): 5.0
E above lowest polymorph (eV/atom): 0.000
Energy of formation (eV per atom): -0.0244
E_tot (eV/atom): -6.598

a = 5.0490 Å, b = 5.0490 Å, c = 5.0490 Å
α = 90.00°, β = 90.00°, γ = 90.00°
Last column: nearest neighbours and their distance in Å.
Space group Pm-3m (No. 221)
Asymmetric unit:
1 La 0.0000 0.0000 0.5000 x3  2 C 2.52
2 Ir 0.5000 0.5000 0.5000 x1  12 La 3.57
3 C 0.0000 0.0000 0.0000 x1  6 La 2.52

=====

No. 9
VASP calculation (PBE-GGA) on a relaxed La5Pr2Er2 crystal.

Results
N(E_F) (states/eV/f.u.): 13.5
E above lowest polymorph (eV/atom): 0.080
Energy of formation (eV per atom): 0.1396
E_tot (eV/atom): -4.674

a = 15.3388 Å, b = 13.1556 Å, c = 6.3153 Å
α = 90.00°, β = 90.00°, γ = 90.00°
Last column: nearest neighbours and their distance in Å.
Space group Ima2 (No. 46)
Asymmetric unit:
1 La 0.0488 0.1970 0.0000 x8  5 La 3.44-3.71, 2 Er 3.54-3.65, 1 Pr 3.82
2 La 0.1443 0.6853 0.1467 x8  4 La 3.24-3.59, 1 Pr 3.33, 2 Er 3.46-3.58
3 La 0.2500 0.1692 0.2353 x4  3 Pr 3.31-3.62, 2 Er 3.44, 2 La 3.44
4 Pr 0.0000 0.0000 0.5707 x4  2 La 3.33, 2 Er 3.50
5 Pr 0.2500 0.0604 0.7082 x4  5 La 3.31-3.64, 2 Er 3.56
6 Er 0.1367 0.5520 0.6413 x8  6 La 3.44-3.65, 1 Er 3.47, 2 Pr 3.50-3.56

=====

No. 10
VASP calculation (PBE-GGA) on a relaxed RbSrNb crystal.

Results
N(E_F) (states/eV/f.u.): 2.3
E above lowest polymorph (eV/atom): 0.578
Energy of formation (eV per atom): 0.9813
E_tot (eV/atom): -3.258

a = 6.2138 Å, b = 6.2138 Å, c = 9.0141 Å
α = 90.00°, β = 90.00°, γ = 120.00°
Last column: nearest neighbours and their distance in Å.
Space group P-6m2 (No. 187)
Asymmetric unit:
1 Rb 0.0000 0.0000 0.0000 x1  6 Nb 3.74, 6 Sr 4.06
2 Rb 0.0000 0.0000 0.5000 x1  6 Sr 4.43, 2 Rb 4.51
3 Sr 0.6667 0.3333 0.2118 x2  3 Nb 3.68, 1 Sr 3.82, 3 Rb 4.06
4 Nb 0.3333 0.6667 0.1187 x2  1 Nb 2.14

=====

No. 11
VASP calculation (PBE-GGA) on a relaxed ReSbP2 crystal.

Results
N(E_F) (states/eV/f.u.): 1.4
E_tot (eV/atom): -6.583

a = 5.8337 Å, b = 5.8337 Å, c = 10.8086 Å
α = 90.00°, β = 90.00°, γ = 90.00°
Last column: nearest neighbours and their distance in Å.
Space group I-42d (No. 122)
Asymmetric unit:
1 Re 0.0000 0.0000 0.0000 x4  4 P 2.28
2 Sb 0.0000 0.0000 0.5000 x4  4 P 2.68
3 P 0.1915 0.2500 0.1250 x8  2 Re 2.28

=====

No. 12
VASP calculation (PBE-GGA) on a relaxed Tm2SiNi6B crystal.

Results
N(E_F) (states/eV/f.u.): 5.7
E_tot (eV/atom): -6.115

a = 9.2137 Å, b = 5.3099 Å, c = 6.4402 Å
α = 90.00°, β = 118.53°, γ = 90.00°
Last column: nearest neighbours and their distance in Å.
Space group C2/m (No. 12)
Asymmetric unit:
1 Tm 0.2198 0.0000 0.1599 x4  6 Ni 2.81
2 Si 0.0000 0.5000 0.0000 x2  6 Ni 2.31
3 Ni 0.0288 0.2665 0.3210 x8  1 B 1.92
4 Ni 0.2372 0.0000 0.6791 x4  1 B 1.92
5 B 0.0000 0.0000 0.5000 x2  6 Ni 1.92

=====

No. 13
VASP calculation (PBE-GGA) on a relaxed Pr3Nd2Tl2 crystal.

Results
N(E_F) (states/eV/f.u.): 5.6
E above lowest polymorph (eV/atom): 0.061
Energy of formation (eV per atom): -0.1426
E_tot (eV/atom): -4.229

a = 3.7809 Å, b = 5.3986 Å, c = 22.7985 Å
α = 90.00°, β = 90.00°, γ = 90.00°
Last column: nearest neighbours and their distance in Å.
Space group Immm (No. 71)
Asymmetric unit:
1 Pr 0.0000 0.0000 0.0000 x2  8 Nd 3.69, 2 Pr 3.78, 4 Tl 3.89
2 Pr 0.0000 0.5000 0.2021 x4  5 Tl 3.39-3.51, 2 Nd 3.50, 2 Pr 3.78
3 Nd 0.0000 0.0000 0.4272 x4  2 Tl 3.21, 1 Nd 3.32, 2 Pr 3.50
4 Tl 0.0000 0.5000 0.3509 x4  2 Nd 3.21, 5 Pr 3.39-3.51

=====

No. 14
VASP calculation (PBE-GGA) on a relaxed PmLuGa2 crystal.

Results
N(E_F) (states/eV/f.u.): 2.2
Energy of formation (eV per atom): -0.3868
E_tot (eV/atom): -4.218

a = 3.6458 Å, b = 3.6458 Å, c = 26.3134 Å
α = 90.00°, β = 90.00°, γ = 120.00°
Last column: nearest neighbours and their distance in Å.
Space group R-3m (No. 166, hexagonal axes)
Asymmetric unit:
1 Pm 0.0000 0.0000 0.0000 x3  6 Ga 3.10
2 Lu 0.0000 0.0000 0.5000 x3  6 Ga 2.98
3 Ga 0.0000 0.0000 0.2467 x6  3 Lu 2.98, 3 Pm 3.10

=====

No. 15
VASP calculation (PBE-GGA) on a relaxed AlH2F6 crystal.

Results
N(E_F) (states/eV/f.u.): 3.3
E_tot (eV/atom): -4.560

a = 9.8198 Å, b = 8.5481 Å, c = 4.7980 Å
α = 90.00°, β = 100.86°, γ = 90.00°
Last column: nearest neighbours and their distance in Å.
Space group C2/c (No. 15)
Asymmetric unit:
1 Al 0.0000 0.0906 0.2500 x4  6 F 1.80-1.87
2 H 0.1204 0.3696 0.1311 x8  2 F 1.15
3 F 0.1005 0.0660 0.6071 x8  2 Al 1.82-1.87
4 F 0.1171 0.2355 0.1566 x8  1 H 1.15
5 F 0.1240 0.4972 0.6074 x8  1 H 1.15

=====

No. 16
VASP calculation (PBE-GGA) on a relaxed Ag4Br3Cl crystal.

Results
E_tot (eV/atom): -2.649

a = 8.8510 Å, b = 7.6638 Å, c = 7.1624 Å
α = 90.00°, β = 90.00°, γ = 90.00°
Last column: nearest neighbours and their distance in Å.
Space group Pmn2_1 (No. 31)
Asymmetric unit:
1 Ag 0.0000 0.1543 0.0000 x2  1 Cl 2.62, 3 Br 2.73
2 Ag 0.0000 0.8290 0.5138 x2  1 Cl 2.63, 3 Br 2.72-2.73
3 Ag 0.2453 0.6697 0.9980 x4  1 Cl 2.63, 3 Br 2.72-2.74
4 Br 0.0000 0.1627 0.3816 x2  4 Ag 2.73
5 Br 0.2486 0.3320 0.8801 x4  4 Ag 2.72-2.74
6 Cl 0.0000 0.8303 0.8817 x2  4 Ag 2.62-2.63

=====

No. 17
VASP calculation (PBE-GGA) on a relaxed Sr4Ga2Br5 crystal.

Results
N(E_F) (states/eV/f.u.): 3.5
E_tot (eV/atom): -3.338

a = 25.3956 Å, b = 4.3866 Å, c = 9.1057 Å
α = 90.00°, β = 93.01°, γ = 90.00°
Last column: nearest neighbours and their distance in Å.
Space group C2/m (No. 12)
Asymmetric unit:
1 Sr 0.0211 0.0000 0.2545 x4  3 Br 3.06-3.22, 2 Ga 3.33
2 Sr 0.1730 0.5000 0.4297 x4  5 Br 3.06-3.11, 1 Ga 3.36
3 Ga 0.0470 0.5000 0.5239 x4  1 Ga 2.40
4 Br 0.0000 0.5000 0.0000 x2  4 Sr 3.22
5 Br 0.1394 0.0000 0.2047 x4  3 Sr 3.06-3.09
6 Br 0.2090 0.0000 0.6463 x4  3 Sr 3.06-3.11

=====

No. 18
VASP calculation (PBE-GGA) on a relaxed K2MgS2 crystal.

Results
N(E_F) (states/eV/f.u.): 2.2
E_tot (eV/atom): -2.371

a = 4.7749 Å, b = 4.7749 Å, c = 15.3402 Å
α = 90.00°, β = 90.00°, γ = 90.00°
Last column: nearest neighbours and their distance in Å.
Space group I4/mmm (No. 139)
Asymmetric unit:
1 K 0.0000 0.0000 0.1313 x4  4 S 3.00
2 Mg 0.0000 0.0000 0.5000 x2  8 K 3.93
3 S 0.0000 0.5000 0.2500 x4  4 K 3.00

=====

No. 19
VASP calculation (PBE-GGA) on a relaxed Ho2ThZn crystal.

Results
N(E_F) (states/eV/f.u.): 5.9
E above lowest polymorph (eV/atom): 0.178
Energy of formation (eV per atom): 0.0104
E_tot (eV/atom): -4.452

a = 4.7415 Å, b = 4.7415 Å, c = 4.8238 Å
α = 90.00°, β = 90.00°, γ = 90.00°
Last column: nearest neighbours and their distance in Å.
Space group P4/mmm (No. 123)
Asymmetric unit:
1 Ho 0.0000 0.5000 0.0000 x2  4 Ho 3.35, 4 Th 3.38, 4 Zn 3.38
2 Th 0.0000 0.0000 0.5000 x1  4 Zn 3.35, 8 Ho 3.38
3 Zn 0.5000 0.5000 0.5000 x1  4 Th 3.35, 8 Ho 3.38

=====

No. 20
VASP calculation (PBE-GGA) on a relaxed PrTmCd2Hg4 crystal.

Results
N(E_F) (states/eV/f.u.): 3.3
Energy of formation (eV per atom): -0.3725
E_tot (eV/atom): -1.909

a = 5.1251 Å, b = 5.1251 Å, c = 25.3778 Å
α = 90.00°, β = 90.00°, γ = 120.00°
Last column: nearest neighbours and their distance in Å.
Space group R-3m (No. 166, hexagonal axes)
Asymmetric unit:
1 Pr 0.0000 0.0000 0.0000 x3  8 Hg 3.18-3.26
2 Tm 0.0000 0.0000 0.5000 x3  8 Hg 3.05-3.11
3 Cd 0.0000 0.0000 0.2503 x6  8 Hg 3.09-3.28
4 Hg 0.0000 0.0000 0.1286 x6  4 Cd 3.09-3.18, 3 Tm 3.11, 1 Pr 3.26
5 Hg 0.0000 0.0000 0.3797 x6  1 Tm 3.05, 4 Cd 3.10-3.28, 3 Pr 3.18

=====

No. 21
VASP calculation (PBE-GGA) on a relaxed FeHgBi2Os crystal.

Results
N(E_F) (states/eV/f.u.): 10.2
Energy of formation (eV per atom): 2.2162
E_tot (eV/atom): -3.335

a = 5.5015 Å, b = 5.5015 Å, c = 4.7490 Å
α = 90.00°, β = 90.00°, γ = 90.00°
Last column: nearest neighbours and their distance in Å.
Space group P4/mmm (No. 123)
Asymmetric unit:
1 Fe 0.0000 0.0000 0.0000 x1  2 Hg 2.37
2 Hg 0.0000 0.0000 0.5000 x1  2 Fe 2.37
3 Bi 0.0000 0.5000 0.5000 x2  2 Hg 2.75
4 Os 0.5000 0.5000 0.0000 x1  8 Bi 3.63, 4 Fe 3.89

=====

No. 22
VASP calculation (PBE-GGA) on a relaxed InSiGe crystal.

Results
N(E_F) (states/eV/f.u.): 0.9
E above lowest polymorph (eV/atom): 0.014
E_tot (eV/atom): -4.046

a = 3.9095 Å, b = 5.5946 Å, c = 6.3616 Å
α = 95.11°, β = 104.33°, γ = 104.29°
Last column: nearest neighbours and their distance in Å.
Space group P-1 (No. 2)
Asymmetric unit:
1 In 0.2427 0.2256 0.3748 x2  2 Si 2.94-3.09, 3 Ge 2.97-3.06, 1 In 3.24
2 Si 0.4392 0.7762 0.9976 x2  1 Si 2.43, 3 Ge 2.51-2.70
3 Ge 0.0066 0.3243 0.7764 x2  3 Si 2.51-2.70

=====

No. 23
VASP calculation (PBE-GGA) on a relaxed PaNbTlO6 crystal.

Results
N(E_F) (states/eV/f.u.): 6.7
E_tot (eV/atom): -8.135

a = 7.6755 Å, b = 7.9770 Å, c = 11.0423 Å
α = 90.00°, β = 90.00°, γ = 90.00°
Last column: nearest neighbours and their distance in Å.
Space group Imma (No. 74)
Asymmetric unit:
1 Pa 0.0000 0.0000 0.0000 x4  6 O 2.15-2.19
2 Nb 0.2500 0.2500 0.2500 x4  6 O 1.99-2.01
3 Tl 0.0000 0.2500 0.6690 x4  1 O 2.75
4 O 0.0000 0.2500 0.2981 x4  2 Nb 1.99
5 O 0.0000 0.2500 0.9177 x4  2 Pa 2.19
6 O 0.1980 0.0698 0.1279 x16  1 Nb 2.01, 1 Pa 2.15